VASP calculation (PBE) on a geometry-optimized NaZnPb2C structure.

Cell: 5.824 5.824 3.682 Å, 90.00 90.00 90.00°
Fractional positions:
Na 0.000 0.000 0.000
Zn 0.500 0.500 0.500
Pb 0.000 0.500 0.500
Pb 0.500 0.000 0.500
C 0.500 0.500 0.000

energy above the most stable polymorph in this dataset	0	meV per atom
magnetic moment	0.00	μB per cell
density of states at the Fermi level	2.275	states/eV/f.u.
SG	P4/mmm (123)

---

VASP calculation (PBE) on a geometry-optimized NaZnPbC2 structure.

Cell: 4.158 4.158 5.404 Å, 90.00 90.00 90.00°
Fractional positions:
Na 0.000 0.000 0.000
Zn 0.500 0.500 0.500
Pb 0.500 0.500 0.000
C 0.000 0.500 0.500
C 0.500 0.000 0.500

magnetic moment	0.00	μB per cell
density of states at the Fermi level	2.986	states/eV/f.u.
SG	P4/mmm (123)

---

VASP calculation (PBE) on a geometry-optimized NaPdC3 structure.

Cell: 4.063 4.063 4.063 Å, 90.00 90.00 90.00°
Fractional positions:
Na 0.000 0.000 0.000
Pd 0.500 0.500 0.500
C 0.000 0.000 0.500
C 0.000 0.500 0.000
C 0.500 0.000 0.000

energy above the most stable polymorph in this dataset	1266	meV per atom
magnetic moment	0.00	μB per cell
density of states at the Fermi level	3.846	states/eV/f.u.
SG	Pm-3m (221)

---

VASP calculation (PBE) on a geometry-optimized Na2Pd2C structure.

Cell: 8.489 8.489 8.489 Å, 155.66 155.66 34.69°
Fractional positions:
Na 0.091 0.091 0.000
Na 0.909 0.909 0.000
Pd 0.250 0.750 0.500
Pd 0.750 0.250 0.500
C 0.500 0.500 0.000

energy above the most stable polymorph in this dataset	0	meV per atom
magnetic moment	1.58	μB per cell
density of states at the Fermi level	3.892	states/eV/f.u.
SG	I4/mmm (139)

---

VASP calculation (PBE) on a geometry-optimized NaPd3C structure.

Cell: 4.639 4.639 4.639 Å, 90.00 90.00 90.00°
Fractional positions:
Na 0.000 0.000 0.000
Pd 0.000 0.000 0.500
Pd 0.000 0.500 0.000
Pd 0.500 0.000 0.000
C 0.500 0.500 0.500

energy above the most stable polymorph in this dataset	2259	meV per atom
magnetic moment	1.09	μB per cell
density of states at the Fermi level	5.017	states/eV/f.u.
SG	Pm-3m (221)

---

VASP calculation (PBE) on a geometry-optimized Na2Pd2C structure.

Cell: 6.102 6.102 4.339 Å, 90.00 90.00 90.00°
Fractional positions:
Na 0.142 0.358 0.000
Na 0.358 0.858 0.000
Na 0.642 0.142 0.000
Na 0.858 0.642 0.000
Pd 0.178 0.678 0.500
Pd 0.322 0.178 0.500
Pd 0.678 0.822 0.500
Pd 0.822 0.322 0.500
C 0.000 0.000 0.000
C 0.500 0.500 0.000

energy above the most stable polymorph in this dataset	107	meV per atom
magnetic moment	0.00	μB per cell
density of states at the Fermi level	2.498	states/eV/f.u.
SG	P4/mbm (127)

---

VASP calculation (PBE) on a geometry-optimized NaPdC3 structure.

Cell: 4.152 4.152 4.152 Å, 90.00 90.00 90.00°
Fractional positions:
Na 0.000 0.000 0.000
Pd 0.500 0.500 0.500
C 0.000 0.500 0.500
C 0.500 0.000 0.500
C 0.500 0.500 0.000

energy above the most stable polymorph in this dataset	0	meV per atom
magnetic moment	0.89	μB per cell
density of states at the Fermi level	4.810	states/eV/f.u.
SG	Pm-3m (221)

---

VASP calculation (PBE) on a geometry-optimized NaPdC structure.

Cell: 10.386 3.351 5.304 Å, 90.00 90.00 90.00°
Fractional positions:
Na 0.235 0.250 0.084
Na 0.265 0.750 0.584
Na 0.735 0.250 0.416
Na 0.765 0.750 0.916
Pd 0.006 0.250 0.731
Pd 0.494 0.750 0.231
Pd 0.506 0.250 0.769
Pd 0.994 0.750 0.269
C 0.078 0.750 0.884
C 0.422 0.250 0.384
C 0.578 0.750 0.616
C 0.922 0.250 0.116

magnetic moment	0.00	μB per cell
density of states at the Fermi level	1.059	states/eV/f.u.
SG	Pnma (62)

---

VASP calculation (PBE) on a geometry-optimized NaPd3C structure.

Cell: 4.196 4.196 4.196 Å, 90.00 90.00 90.00°
Fractional positions:
Na 0.000 0.000 0.000
Pd 0.000 0.500 0.500
Pd 0.500 0.000 0.500
Pd 0.500 0.500 0.000
C 0.500 0.500 0.500

energy above the most stable polymorph in this dataset	0	meV per atom
magnetic moment	0.00	μB per cell
density of states at the Fermi level	5.902	states/eV/f.u.
SG	Pm-3m (221)

---

VASP calculation (PBE) on a geometry-optimized NaPd2PtC structure.

Cell: 4.301 4.301 4.041 Å, 90.00 90.00 90.00°
Fractional positions:
Na 0.000 0.000 0.000
Pd 0.000 0.500 0.500
Pd 0.500 0.000 0.500
Pt 0.500 0.500 0.000
C 0.500 0.500 0.500

magnetic moment	0.00	μB per cell
density of states at the Fermi level	3.586	states/eV/f.u.
SG	P4/mmm (123)

---

VASP calculation (PBE) on a geometry-optimized Rb2NaPdC structure.

Cell: 6.475 6.475 4.454 Å, 90.00 90.00 90.00°
Fractional positions:
Rb 0.000 0.500 0.000
Rb 0.500 0.000 0.000
Na 0.000 0.000 0.000
Pd 0.500 0.500 0.500
C 0.000 0.000 0.500

magnetic moment	2.32	μB per cell
density of states at the Fermi level	2.706	states/eV/f.u.
SG	P4/mmm (123)

---

VASP calculation (PBE) on a geometry-optimized NaTaPd2C structure.

Cell: 4.816 4.816 6.136 Å, 90.00 90.00 90.00°
Fractional positions:
Na 0.000 0.000 0.000
Ta 0.000 0.000 0.500
Pd 0.000 0.500 0.500
Pd 0.500 0.000 0.500
C 0.500 0.500 0.000

magnetic moment	0.28	μB per cell
density of states at the Fermi level	3.651	states/eV/f.u.
SG	P4/mmm (123)

---

VASP calculation (PBE) on a geometry-optimized NaPm2C structure.

Cell: 9.902 3.621 3.621 Å, 59.98 90.00 90.00°
Fractional positions:
Na 0.000 0.000 0.000
Pm 0.350 0.330 0.330
Pm 0.650 0.330 0.330
C 0.500 0.664 0.664

energy above the most stable polymorph in this dataset	262	meV per atom
magnetic moment	0.01	μB per cell
density of states at the Fermi level	3.841	states/eV/f.u.
SG	Amm2 (38)

---

VASP calculation (PBE) on a geometry-optimized NaPmC structure.

Cell: 10.613 10.613 10.613 Å, 21.44 21.44 21.44°
Fractional positions:
Na 0.000 0.000 0.000
Na 0.419 0.419 0.419
Pm 0.161 0.161 0.161
Pm 0.592 0.592 0.592
C 0.286 0.286 0.286
C 0.799 0.799 0.799

magnetic moment	0.00	μB per cell
density of states at the Fermi level	2.241	states/eV/f.u.
SG	R3m (160)

---

VASP calculation (PBE) on a geometry-optimized NaPm2C structure.

Cell: 10.067 10.067 10.067 Å, 20.91 20.91 20.91°
Fractional positions:
Na 0.000 0.000 0.000
Pm 0.214 0.214 0.214
Pm 0.786 0.786 0.786
C 0.500 0.500 0.500

energy above the most stable polymorph in this dataset	4	meV per atom
magnetic moment	0.00	μB per cell
density of states at the Fermi level	3.128	states/eV/f.u.
SG	R-3m (166)

---

VASP calculation (PBE) on a geometry-optimized NaPm2C structure.

Cell: 3.657 3.657 9.777 Å, 90.21 90.21 59.97°
Fractional positions:
Na 0.000 0.000 0.000
Pm 0.332 0.332 0.357
Pm 0.668 0.668 0.643
C 0.000 0.000 0.500

energy above the most stable polymorph in this dataset	0	meV per atom
magnetic moment	0.00	μB per cell
density of states at the Fermi level	3.057	states/eV/f.u.
SG	C2/m (12)

---

VASP calculation (PBE) on a geometry-optimized NaPr3C structure.

Cell: 5.294 5.294 5.294 Å, 90.00 90.00 90.00°
Fractional positions:
Na 0.000 0.000 0.000
Pr 0.000 0.500 0.500
Pr 0.500 0.000 0.500
Pr 0.500 0.500 0.000
C 0.500 0.500 0.500

magnetic moment	0.00	μB per cell
density of states at the Fermi level	6.508	states/eV/f.u.
SG	Pm-3m (221)

---

VASP calculation (PBE) on a geometry-optimized NaPr2C structure.

Cell: 10.636 10.636 10.636 Å, 19.97 19.97 19.97°
Fractional positions:
Na 0.000 0.000 0.000
Pr 0.121 0.121 0.121
Pr 0.879 0.879 0.879
C 0.500 0.500 0.500

magnetic moment	0.00	μB per cell
density of states at the Fermi level	3.326	states/eV/f.u.
SG	R-3m (166)

---

VASP calculation (PBE) on a geometry-optimized NaPrC structure.

Cell: 10.871 10.871 10.871 Å, 21.00 21.00 21.00°
Fractional positions:
Na 0.000 0.000 0.000
Na 0.414 0.414 0.414
Pr 0.156 0.156 0.156
Pr 0.592 0.592 0.592
C 0.288 0.288 0.288
C 0.792 0.792 0.792

energy above the most stable polymorph in this dataset	524	meV per atom
magnetic moment	0.00	μB per cell
density of states at the Fermi level	2.487	states/eV/f.u.
SG	R3m (160)

---

VASP calculation (PBE) on a geometry-optimized NaPrC structure.

Cell: 3.754 4.352 11.769 Å, 95.22 90.37 115.46°
Fractional positions:
Na 0.131 0.253 0.380
Na 0.869 0.747 0.620
Pr 0.374 0.746 0.118
Pr 0.626 0.254 0.882
C 0.082 0.159 0.029
C 0.918 0.841 0.971

energy above the most stable polymorph in this dataset	0	meV per atom
magnetic moment	0.00	μB per cell
density of states at the Fermi level	1.229	states/eV/f.u.
SG	P-1 (2)

---

VASP calculation (PBE) on a geometry-optimized NaPtC3 structure.

Cell: 4.052 4.052 4.052 Å, 90.00 90.00 90.00°
Fractional positions:
Na 0.000 0.000 0.000
Pt 0.500 0.500 0.500
C 0.000 0.000 0.500
C 0.000 0.500 0.000
C 0.500 0.000 0.000

energy above the most stable polymorph in this dataset	1572	meV per atom
magnetic moment	0.00	μB per cell
density of states at the Fermi level	4.035	states/eV/f.u.
SG	Pm-3m (221)

---

VASP calculation (PBE) on a geometry-optimized NaPtC3 structure.

Cell: 4.127 4.127 4.127 Å, 90.00 90.00 90.00°
Fractional positions:
Na 0.000 0.000 0.000
Pt 0.500 0.500 0.500
C 0.000 0.500 0.500
C 0.500 0.000 0.500
C 0.500 0.500 0.000

energy above the most stable polymorph in this dataset	0	meV per atom
magnetic moment	1.14	μB per cell
density of states at the Fermi level	3.933	states/eV/f.u.
SG	Pm-3m (221)

---

VASP calculation (PBE) on a geometry-optimized NaPtC structure.

Cell: 5.774 5.774 5.278 Å, 114.25 114.25 39.94°
Fractional positions:
Na 0.107 0.107 0.310
Na 0.893 0.893 0.690
Pt 0.359 0.359 0.195
Pt 0.641 0.641 0.805
C 0.158 0.158 0.834
C 0.842 0.842 0.166

magnetic moment	0.00	μB per cell
density of states at the Fermi level	0.992	states/eV/f.u.
SG	C2/m (12)

---

VASP calculation (PBE) on a geometry-optimized NaPt3C structure.

Cell: 4.616 4.616 4.616 Å, 90.00 90.00 90.00°
Fractional positions:
Na 0.000 0.000 0.000
Pt 0.000 0.000 0.500
Pt 0.000 0.500 0.000
Pt 0.500 0.000 0.000
C 0.500 0.500 0.500

energy above the most stable polymorph in this dataset	2676	meV per atom
magnetic moment	0.00	μB per cell
density of states at the Fermi level	8.640	states/eV/f.u.
SG	Pm-3m (221)

---

VASP calculation (PBE) on a geometry-optimized Na2PtC structure.

Cell: 4.533 4.533 4.533 Å, 60.00 60.00 60.00°
Fractional positions:
Na 0.250 0.250 0.250
Na 0.750 0.750 0.750
Pt 0.000 0.000 0.000
C 0.500 0.500 0.500

magnetic moment	0.69	μB per cell
density of states at the Fermi level	2.702	states/eV/f.u.
SG	Fm-3m (225)

---

VASP calculation (PBE) on a geometry-optimized NaPt3C structure.

Cell: 4.215 4.215 4.215 Å, 90.00 90.00 90.00°
Fractional positions:
Na 0.000 0.000 0.000
Pt 0.000 0.500 0.500
Pt 0.500 0.000 0.500
Pt 0.500 0.500 0.000
C 0.500 0.500 0.500

energy above the most stable polymorph in this dataset	0	meV per atom
magnetic moment	0.00	μB per cell
density of states at the Fermi level	5.970	states/eV/f.u.
SG	Pm-3m (221)

---

VASP calculation (PBE) on a geometry-optimized NaRuPtC2 structure.

Cell: 4.109 4.109 4.562 Å, 90.00 90.00 90.00°
Fractional positions:
Na 0.000 0.000 0.000
Ru 0.000 0.000 0.500
Pt 0.500 0.500 0.500
C 0.000 0.500 0.000
C 0.500 0.000 0.000

magnetic moment	1.82	μB per cell
density of states at the Fermi level	6.905	states/eV/f.u.
SG	P4/mmm (123)

---

VASP calculation (PBE) on a geometry-optimized Na2TaPtC structure.

Cell: 6.202 6.202 4.771 Å, 90.00 90.00 90.00°
Fractional positions:
Na 0.000 0.500 0.000
Na 0.500 0.000 0.000
Ta 0.000 0.000 0.000
Pt 0.000 0.000 0.500
C 0.500 0.500 0.500

magnetic moment	3.99	μB per cell
density of states at the Fermi level	5.141	states/eV/f.u.
SG	P4/mmm (123)

---

| no. | DFT total energy (eV/atom) |
| --- | --- |
| 1 | -3.061 |
| 2 | -3.050 |
| 3 | -3.083 |
| 4 | -3.334 |
| 5 | -2.887 |
| 6 | -3.226 |
| 7 | -4.349 |
| 8 | -4.508 |
| 9 | -5.146 |
| 10 | -5.349 |
| 11 | -2.245 |
| 12 | -4.260 |
| 13 | -4.832 |
| 14 | -4.686 |
| 15 | -5.090 |
| 16 | -5.094 |
| 17 | -4.806 |
| 18 | -5.029 |
| 19 | -4.655 |
| 20 | -5.178 |
| 21 | -3.153 |
| 22 | -4.725 |
| 23 | -5.107 |
| 24 | -2.900 |
| 25 | -3.139 |
| 26 | -5.575 |
| 27 | -3.602 |
| 28 | -3.598 |